1.
The following is a meta-GGA SCAN calculation of a PBEsol-optimized structure of Na2Ca2Si3O9, from Alexandria via LeMat-Bulk.

abc: 10.5607 10.5607 13.2620
angles: 90.00 90.00 120.00
Space group R3m (No. 160, hexagonal axes)
Inequivalent atoms, fractional coordinates:
Na (0.0000, 0.0000, 0.0000) (multiplicity 3)
Na (0.0647, 0.5324, 0.2379) (multiplicity 9)
Ca (0.0000, 0.0000, 0.2524) (multiplicity 3)
Ca (0.1748, 0.3495, 0.0805) (multiplicity 9)
Si (0.0254, 0.5127, 0.4838) (multiplicity 9)
Si (0.1802, 0.3604, 0.3545) (multiplicity 9)
O (0.0007, 0.2525, 0.7512) (multiplicity 18)
O (0.0931, 0.1862, 0.3708) (multiplicity 9)
O (0.0931, 0.5465, 0.5951) (multiplicity 9)
O (0.1846, 0.0923, 0.1372) (multiplicity 9)
O (0.2128, 0.4256, 0.2425) (multiplicity 9)

Summary:
The calculation puts the energy relative to the elements, uncorrected at -2985.4 meV/atom.

2.
The following is a meta-GGA SCAN calculation of a PBEsol-optimized structure of La2CoOs, from Alexandria via LeMat-Bulk.

abc: 4.1152 4.1152 20.9813
angles: 90.00 90.00 120.00
Space group R3m (No. 160, hexagonal axes)
Inequivalent atoms, fractional coordinates:
La (0.0000, 0.0000, 0.0000) (multiplicity 3)
La (0.0000, 0.0000, 0.1779) (multiplicity 3)
Co (0.0000, 0.0000, 0.4209) (multiplicity 3)
Os (0.0000, 0.0000, 0.7567) (multiplicity 3)

Summary:
Its energy of formation from the pure elements is -0.1285 eV per atom.

3.
The following is a meta-GGA SCAN calculation of a PBEsol-optimized structure of BiRh3Br, from Alexandria via LeMat-Bulk.

abc: 4.9694 4.9694 4.9694
angles: 90.00 90.00 90.00
Space group Pm-3m (No. 221)
Inequivalent atoms, fractional coordinates:
Bi (0.0000, 0.0000, 0.0000) (multiplicity 1)
Rh (0.0000, 0.0000, 0.5000) (multiplicity 3)
Br (0.5000, 0.5000, 0.5000) (multiplicity 1)

Summary:
The calculation puts the energy relative to the elements, uncorrected at 1275.6 meV/atom.

4.
The following is a meta-GGA SCAN calculation of a PBEsol-optimized structure of Li7Cr5O12, from Alexandria via LeMat-Bulk.

abc: 4.9824 8.6299 9.5832
angles: 90.00 100.00 90.00
Space group C2/m (No. 12)
Inequivalent atoms, fractional coordinates:
Li (0.0000, 0.0000, 0.0000) (multiplicity 2)
Li (0.2416, 0.1617, 0.2387) (multiplicity 8)
Li (0.2435, 0.0000, 0.7615) (multiplicity 4)
Cr (0.0000, 0.1669, 0.5000) (multiplicity 4)
Cr (0.0000, 0.3333, 0.0000) (multiplicity 4)
Cr (0.0000, 0.5000, 0.5000) (multiplicity 2)
O (0.1055, 0.5000, 0.8862) (multiplicity 4)
O (0.1289, 0.0000, 0.3867) (multiplicity 4)
O (0.1297, 0.3333, 0.3894) (multiplicity 8)
O (0.1402, 0.1782, 0.8862) (multiplicity 8)

Summary:
The calculation puts the energy relative to the elements, uncorrected at -2418.7 meV/atom.

5.
The following is a meta-GGA SCAN calculation of a PBEsol-optimized structure of Ho, from Alexandria via LeMat-Bulk.

abc: 3.5159 3.5159 5.4894
angles: 90.00 90.00 120.00
Space group P6_3/mmc (No. 194)
Inequivalent atoms, fractional coordinates:
Ho (0.3333, 0.6667, 0.2500) (multiplicity 2)

Summary:
Its energy of formation from the pure elements is 0.0047 eV per atom. The energy relative to the lowest polymorph listed for this composition is 5 meV/atom.

6.
The following is a meta-GGA SCAN calculation of a PBEsol-optimized structure of CaY2Br, from Alexandria via LeMat-Bulk.

abc: 6.5213 10.0127 3.6238
angles: 90.00 90.00 90.00
Space group Cmmm (No. 65)
Inequivalent atoms, fractional coordinates:
Ca (0.0000, 0.0000, 0.0000) (multiplicity 2)
Y (0.2500, 0.2500, 0.5000) (multiplicity 4)
Br (0.0000, 0.5000, 0.0000) (multiplicity 2)

Summary:
The energy relative to the lowest polymorph listed for this composition is 256 meV/atom. The calculation puts the energy relative to the elements, uncorrected at -136.0 meV/atom.

7.
The following is a meta-GGA SCAN calculation of a PBEsol-optimized structure of Li2ICl, from Alexandria via LeMat-Bulk.

abc: 7.0613 7.0613 7.0613
angles: 90.00 90.00 90.00
Space group Fm-3m (No. 225)
Inequivalent atoms, fractional coordinates:
Li (0.2500, 0.2500, 0.2500) (multiplicity 8)
I (0.0000, 0.0000, 0.0000) (multiplicity 4)
Cl (0.0000, 0.0000, 0.5000) (multiplicity 4)

Summary:
The energy relative to the lowest polymorph listed for this composition is 329 meV/atom. The calculation puts the energy relative to the elements, uncorrected at -1327.6 meV/atom.

8.
The following is a meta-GGA SCAN calculation of a PBEsol-optimized structure of LaGe4Rh6, from Alexandria via LeMat-Bulk.

abc: 7.1262 7.1262 3.8551
angles: 90.00 90.00 120.00
Space group P-6m2 (No. 187)
Inequivalent atoms, fractional coordinates:
La (0.0000, 0.0000, 0.0000) (multiplicity 1)
Ge (0.3333, 0.6667, 0.0000) (multiplicity 1)
Ge (0.3992, 0.1996, 0.5000) (multiplicity 3)
Rh (0.2013, 0.4026, 0.5000) (multiplicity 3)
Rh (0.5331, 0.0662, 0.0000) (multiplicity 3)

Summary:
Its energy of formation from the pure elements is -0.8730 eV per atom.

9.
The following is a meta-GGA SCAN calculation of a PBEsol-optimized structure of K2As2Pb, from Alexandria via LeMat-Bulk.

abc: 7.5327 7.5327 5.1968
angles: 90.00 90.00 90.00
Space group P4/mbm (No. 127)
Inequivalent atoms, fractional coordinates:
K (0.1782, 0.3218, 0.0000) (multiplicity 4)
As (0.1137, 0.6137, 0.5000) (multiplicity 4)
Pb (0.0000, 0.0000, 0.5000) (multiplicity 2)

Summary:
Its energy of formation from the pure elements is -0.4070 eV per atom.

10.
The following is a meta-GGA SCAN calculation of a PBEsol-optimized structure of TaAlTe2, from Alexandria via LeMat-Bulk.

abc: 4.2466 4.2466 9.2923
angles: 90.00 90.00 90.00
Space group I-4m2 (No. 119)
Inequivalent atoms, fractional coordinates:
Ta (0.0000, 0.0000, 0.0000) (multiplicity 2)
Al (0.0000, 0.5000, 0.7500) (multiplicity 2)
Te (0.0000, 0.0000, 0.5000) (multiplicity 2)
Te (0.0000, 0.5000, 0.2500) (multiplicity 2)

Summary:
The calculation puts the energy relative to the elements, uncorrected at 555.4 meV/atom.

11.
The following is a meta-GGA SCAN calculation of a PBEsol-optimized structure of LiMgIr2, from Alexandria via LeMat-Bulk.

abc: 2.6881 4.1669 5.1289
angles: 90.00 103.65 90.00
Space group P2/m (No. 10)
Inequivalent atoms, fractional coordinates:
Li (0.0000, 0.0000, 0.0000) (multiplicity 1)
Mg (0.5000, 0.0000, 0.5000) (multiplicity 1)
Ir (0.1566, 0.5000, 0.7730) (multiplicity 2)

Summary:
Its energy of formation from the pure elements is -0.3466 eV per atom.

12.
The following is a meta-GGA SCAN calculation of a PBEsol-optimized structure of TcTeP2, from Alexandria via LeMat-Bulk.

abc: 3.1238 4.4347 4.6704
angles: 90.00 90.00 90.00
Space group Pmmm (No. 47)
Inequivalent atoms, fractional coordinates:
Tc (0.0000, 0.0000, 0.0000) (multiplicity 1)
Te (0.5000, 0.0000, 0.5000) (multiplicity 1)
P (0.0000, 0.5000, 0.5000) (multiplicity 1)
P (0.5000, 0.5000, 0.0000) (multiplicity 1)

Summary:
The calculation puts the energy relative to the elements, uncorrected at 844.2 meV/atom.

Magnetization
In order: 0.0 2.4 2.6 13.0 0.2 0.0 0.0 0.0 0.0 1.0 0.0 0.0
Unit: μB per formula unit